No. 1
! NaSbPS2 PBEsol optimized geometry; values from VASP
! Magnetic moment: 0.000 μB/atom
! Polymorph energy (0 for the lowest one): 924 meV/atom
! Formation energy without anion corrections: 1.164 eV/atom
! DFT total energy: -2.94 eV/atom
! Crystal system: tetragonal
&SYSTEM
  ibrav = 0, nat = 5, ntyp = 4
/
ATOMIC_SPECIES
S 32.06 S.upf
Na 22.99 Na.upf
P 30.97 P.upf
Sb 121.76 Sb.upf
ATOMIC_POSITIONS crystal
S 0.500 0.000 0.000
S 0.000 0.500 0.000
Na 0.000 0.000 0.000
P 0.500 0.500 0.500
Sb 0.000 0.000 0.500
CELL_PARAMETERS angstrom
4.571 0.000 0.000
0.000 4.571 0.000
0.000 0.000 5.631


No. 2
! NaSbP2S6 PBEsol optimized geometry; values from VASP
! Magnetic moment: 0.000 μB/atom
! Polymorph energy (0 for the lowest one): 8 meV/atom
! Formation energy without anion corrections: -0.447 eV/atom
! DFT total energy: -4.83 eV/atom
! Crystal system: monoclinic
&SYSTEM
  ibrav = 0, nat = 20, ntyp = 4
/
ATOMIC_SPECIES
S 32.06 S.upf
P 30.97 P.upf
Na 22.99 Na.upf
Sb 121.76 Sb.upf
ATOMIC_POSITIONS crystal
S 0.401 0.747 0.297
S 0.582 0.239 0.274
S 0.068 0.126 0.811
S 0.932 0.626 0.189
S 0.868 0.943 0.492
S 0.418 0.739 0.726
S 0.599 0.247 0.703
S 0.087 0.131 0.177
S 0.132 0.443 0.508
S 0.913 0.631 0.823
S 0.647 0.947 0.019
S 0.353 0.447 0.981
P 0.685 0.827 0.819
P 0.186 0.547 0.317
P 0.315 0.327 0.181
P 0.814 0.047 0.683
Na 0.694 0.548 0.502
Na 0.306 0.048 0.498
Sb 0.196 0.772 0.017
Sb 0.804 0.272 0.983
CELL_PARAMETERS angstrom
6.434 0.000 0.075
0.000 7.345 0.000
-0.441 0.000 9.236


No. 3
! NaScPS2 PBEsol optimized geometry; values from VASP
! Magnetic moment: 0.000 μB/atom
! Formation energy without anion corrections: -0.521 eV/atom
! DFT total energy: -5.03 eV/atom
! Crystal system: tetragonal
&SYSTEM
  ibrav = 0, nat = 5, ntyp = 4
/
ATOMIC_SPECIES
P 30.97 P.upf
Na 22.99 Na.upf
Sc 44.96 Sc.upf
S 32.06 S.upf
ATOMIC_POSITIONS crystal
P 0.000 0.000 0.500
Na 0.500 0.500 0.500
Sc 0.000 0.000 0.000
S 0.500 0.000 0.000
S 0.000 0.500 0.000
CELL_PARAMETERS angstrom
4.909 0.000 0.000
0.000 4.909 0.000
0.000 0.000 4.923


No. 4
! NaTaP2S PBEsol optimized geometry; values from VASP
! Magnetic moment: 0.240 μB/atom
! Formation energy without anion corrections: 1.581 eV/atom
! DFT total energy: -4.40 eV/atom
! Crystal system: tetragonal
&SYSTEM
  ibrav = 0, nat = 5, ntyp = 4
/
ATOMIC_SPECIES
S 32.06 S.upf
P 30.97 P.upf
Na 22.99 Na.upf
Ta 180.95 Ta.upf
ATOMIC_POSITIONS crystal
S 0.500 0.000 0.000
P 0.000 0.000 0.500
P 0.000 0.500 0.000
Na 0.000 0.000 0.000
Ta 0.500 0.500 0.500
CELL_PARAMETERS angstrom
4.549 0.000 0.000
0.000 4.558 0.000
0.000 0.000 4.558


No. 5
! NaTiP2S PBEsol optimized geometry; values from VASP
! Magnetic moment: 0.244 μB/atom
! Formation energy without anion corrections: 1.156 eV/atom
! DFT total energy: -3.98 eV/atom
! Crystal system: tetragonal
&SYSTEM
  ibrav = 0, nat = 5, ntyp = 4
/
ATOMIC_SPECIES
Na 22.99 Na.upf
P 30.97 P.upf
S 32.06 S.upf
Ti 47.87 Ti.upf
ATOMIC_POSITIONS crystal
Na 0.000 0.000 0.000
P 0.000 0.500 0.000
P 0.000 0.000 0.500
S 0.500 0.000 0.000
Ti 0.500 0.500 0.500
CELL_PARAMETERS angstrom
-3.950 0.682 -2.362
-2.168 -3.049 2.744
-1.146 3.430 2.906


No. 6
! NaPWS2 PBEsol optimized geometry; values from VASP
! Magnetic moment: 0.000 μB/atom
! Formation energy without anion corrections: -0.204 eV/atom
! DFT total energy: -6.16 eV/atom
! Crystal system: tetragonal
&SYSTEM
  ibrav = 0, nat = 5, ntyp = 4
/
ATOMIC_SPECIES
W 183.84 W.upf
S 32.06 S.upf
Na 22.99 Na.upf
P 30.97 P.upf
ATOMIC_POSITIONS crystal
W 0.000 0.000 0.000
S 0.000 0.500 0.000
S 0.000 0.000 0.500
Na 0.500 0.500 0.500
P 0.500 0.000 0.000
CELL_PARAMETERS angstrom
-1.816 -2.116 3.782
-0.593 -3.944 -2.492
4.296 -1.440 1.257


Number 3 is which compound? NaScPS2


Which value of magnetic moment does entry 2 give? 0.000 μB/atom


The lowest formation energy without anion corrections belongs to which entry? NaScPS2